A relaxed structure of Cu2AsS2. Source: the Alexandria database, functional PBE.

It has space group Pm (No. 6), with a = 4.035 Å, b = 4.092 Å, c = 5.941 Å, α = 90.00°, β = 106.95° and γ = 90.00°. Symmetry generates all atoms from Cu at (0.000, 0.000, 0.000), Cu at (0.460, 0.500, 0.995), As at (0.875, 0.500, 0.383), S at (0.182, 0.000, 0.397) and S at (0.885, 0.500, 0.811).

The formation energy from raw total energies is -5 meV per atom. For the density of states at the Fermi level, the calculation gives 1.69 states/eV/cell.